## RbBa2FeO4 (PBE with a Hubbard U)

Data for an optimized crystal structure of RbBa2FeO4.

Properties
* V: 21.0 A^3/atom
* uncorrected energy: -5.745 eV per atom
* spin magnetization: 9.89 Bohr magnetons per cell

abc: 3.7357 7.1152 13.0986
angles: 90.00 90.00 105.22
Each line ends with the local moment (μB).
Fractional positions:
O 0.2574 0.5148 0.3705  0.19
Fe 0.8148 0.6297 0.7500  4.18
O 0.3807 0.7615 0.7500  0.19
O 0.0000 0.0000 0.0000  -0.03
O 0.7426 0.4852 0.6295  0.19
O 0.6193 0.2385 0.2500  0.19
Ba 0.3708 0.7416 0.5367  0.01
O 0.0000 0.0000 0.5000  -0.03
O 0.2574 0.5148 0.1295  0.19
Fe 0.1852 0.3703 0.2500  4.18
Rb 0.9015 0.8029 0.2500  0.00
O 0.7426 0.4852 0.8705  0.19
Rb 0.0985 0.1971 0.7500  0.00
Ba 0.6292 0.2584 0.0367  0.01
Ba 0.3708 0.7416 0.9633  0.01
Ba 0.6292 0.2584 0.4633  0.01